[1]
# DyHfZr

A relaxed structure of DyHfZr (PBE-GGA, Alexandria).

For the total magnetization, the calculation gives 0.00 μB per cell. Its density of states at the Fermi level is 13.89 states/eV/cell. The final energy comes out at -7.5895 eV/atom. For the formation energy from the elements, the calculation gives 0.11 eV/atom. Its crystal system is trigonal. The energy relative to the lowest polymorph listed for this composition comes out at 0 meV/atom.

The structure belongs to space group R3m (No. 160, hexagonal axes); the cell edges are 3.3170, 3.3170 and 23.8469 Å and the angles 90.00°, 90.00° and 120.00°. The distinct sites, in fractional coordinates, are Dy at (0.0000, 0.0000, 0.0000), Hf at (0.0000, 0.0000, 0.5527) and Zr at (0.0000, 0.0000, 0.7841).

[2]
# DyHfZr

A relaxed structure of DyHfZr (PBE-GGA, Alexandria).

For the total magnetization, the calculation gives 0.00 μB per cell. Its density of states at the Fermi level is 7.73 states/eV/cell. The final energy comes out at -7.5899 eV/atom. For the formation energy from the elements, the calculation gives 0.11 eV/atom. Its crystal system is tetragonal. The energy relative to the lowest polymorph listed for this composition comes out at 0 meV/atom.

The structure belongs to space group I4mm (No. 107); the cell edges are 3.195, 3.195 and 14.946 Å and the angles 90.00°, 90.00° and 90.00°. The distinct sites, in fractional coordinates, are Dy at (0.000, 0.000, 0.000), Hf at (0.000, 0.000, 0.327) and Zr at (0.000, 0.000, 0.684).

[3]
# Dy3Hg4

A relaxed structure of Dy3Hg4 (PBE-GGA, Alexandria).

For the total magnetization, the calculation gives 0.00 μB per cell. Its density of states at the Fermi level is 16.46 states/eV/cell. The final energy comes out at -2.4826 eV/atom. For the formation energy from the elements, the calculation gives -0.34 eV/atom. Its crystal system is trigonal.

The structure belongs to space group R-3m (No. 166, hexagonal axes); the cell edges are 5.0880, 5.0880 and 26.0367 Å and the angles 90.00°, 90.00° and 120.00°. The distinct sites, in fractional coordinates, are Dy at (0.0000, 0.0000, 0.0000), Dy at (0.0000, 0.0000, 0.2444), Hg at (0.0000, 0.0000, 0.1266) and Hg at (0.0000, 0.0000, 0.3751).

[4]
# Dy2Hg3

A relaxed structure of Dy2Hg3 (PBE-GGA, Alexandria).

For the total magnetization, the calculation gives 0.00 μB per cell. Its density of states at the Fermi level is 4.48 states/eV/cell. The final energy comes out at -2.4423 eV/atom. For the formation energy from the elements, the calculation gives -0.42 eV/atom. Its crystal system is tetragonal. The energy relative to the lowest polymorph listed for this composition comes out at 0 meV/atom.

The structure belongs to space group I4/mmm (No. 139); the cell edges are 3.796, 3.796 and 17.401 Å and the angles 90.00°, 90.00° and 90.00°. The distinct sites, in fractional coordinates, are Dy at (0.000, 0.000, 0.105), Hg at (0.000, 0.000, 0.298) and Hg at (0.000, 0.000, 0.500).